1.
DFT (PBE) results for crystalline LaCo2Ir at its relaxed geometry.

Properties
**ρ**: 11277 kg/m³
**ΔE_f**: 0.20 eV/atom
**Total DFT energy (no corrections)**: -27.206 eV/cell

POSCAR file:
```
LaCo2Ir
1.0
3.318 -1.278 2.820
1.125 2.633 3.521
-0.996 -1.316 4.228
Co Ir La
2 1 1
Direct
0.250 0.250 0.250 Co
0.750 0.750 0.750 Co
0.500 0.500 0.500 Ir
0.000 0.000 0.000 La
```


2.
DFT (PBE) results for crystalline LaCo2Ir at its relaxed geometry.

Properties
**ρ**: 11198 kg/m³
**ΔE_f**: 0.17 eV/atom
**Total DFT energy (no corrections)**: -27.325 eV/cell

POSCAR file:
```
LaCo2Ir
1.0
-0.275 2.437 1.430
-2.897 -1.417 1.857
3.909 -2.166 4.445
La Co Ir
1 2 1
Direct
0.500 0.500 0.750 La
0.000 0.000 0.433 Co
0.000 0.000 0.067 Co
0.500 0.500 0.250 Ir
```


3.
DFT (PBE) results for crystalline La8Co3Ir2 at its relaxed geometry.

Properties
**ρ**: 7248 kg/m³
**ΔE_f**: -0.31 eV/atom
**Total DFT energy (no corrections)**: -82.460 eV/cell

POSCAR file:
```
La8Co3Ir2
1.0
6.936 -0.025 -0.034
-0.039 7.072 3.273
-0.043 -0.043 7.792
La Co Ir
8 3 2
Direct
0.828 0.890 0.890 La
0.667 0.374 0.882 La
0.667 0.882 0.374 La
0.333 0.118 0.626 La
0.840 0.386 0.386 La
0.160 0.614 0.614 La
0.172 0.110 0.110 La
0.333 0.626 0.118 La
0.000 0.737 0.263 Co
0.500 0.000 0.000 Co
0.000 0.263 0.737 Co
0.495 0.747 0.747 Ir
0.505 0.253 0.253 Ir
```


4.
DFT (PBE) results for crystalline LaCo2Ir at its relaxed geometry.

Properties
**ρ**: 9893 kg/m³
**ΔE_f**: -0.24 eV/atom
**Total DFT energy (no corrections)**: -28.958 eV/cell

POSCAR file:
```
LaCo2Ir
1.0
-1.460 -3.904 0.682
2.357 -2.797 2.111
-1.701 -0.753 5.126
La Co Ir
1 2 1
Direct
0.750 0.750 0.750 La
0.565 0.565 0.306 Co
0.935 0.935 0.194 Co
0.250 0.250 0.250 Ir
```


5.
DFT (PBE) results for crystalline La5CoIr at its relaxed geometry.

Properties
**ρ**: 6883 kg/m³
**ΔE_f**: -0.21 eV/atom
**Total DFT energy (no corrections)**: -84.137 eV/cell

POSCAR file:
```
La5CoIr
1.0
6.498 0.969 -1.758
-0.192 6.567 -1.758
0.207 0.247 10.529
La Ir Co
10 2 2
Direct
0.735 0.765 0.750 La
0.789 0.944 0.158 La
0.211 0.056 0.842 La
0.776 0.364 0.993 La
0.556 0.711 0.342 La
0.444 0.289 0.658 La
0.265 0.235 0.250 La
0.864 0.276 0.493 La
0.136 0.724 0.507 La
0.224 0.636 0.007 La
0.054 0.446 0.750 Ir
0.946 0.554 0.250 Ir
0.500 0.500 0.500 Co
0.000 0.000 0.000 Co
```


6.
DFT (PBE) results for crystalline La2CoIr at its relaxed geometry.

Properties
**ρ**: 9835 kg/m³
**ΔE_f**: -0.13 eV/atom
**Total DFT energy (no corrections)**: -26.331 eV/cell

POSCAR file:
```
La2CoIr
1.0
-4.259 -2.226 3.692
-4.514 -3.547 -1.942
6.023 0.544 -0.399
La Ir Co
2 1 1
Direct
0.250 0.750 0.500 La
0.000 0.000 0.000 La
0.750 0.250 0.500 Ir
0.500 0.500 0.000 Co
```


7.
DFT (PBE) results for crystalline LaCo2Ir at its relaxed geometry.

Properties
**ρ**: 11272 kg/m³
**ΔE_f**: 0.22 eV/atom
**Total DFT energy (no corrections)**: -27.123 eV/cell

POSCAR file:
```
LaCo2Ir
1.0
5.456 -0.002 -0.007
2.629 4.781 0.007
-3.461 -3.373 2.532
La Ir Co
1 1 2
Direct
0.245 0.745 0.500 La
0.529 0.529 0.000 Ir
0.965 0.965 0.000 Co
0.761 0.261 0.500 Co
```


8.
DFT (PBE) results for crystalline LaCo2Ir at its relaxed geometry.

Properties
**ρ**: 11328 kg/m³
**ΔE_f**: 0.18 eV/atom
**Total DFT energy (no corrections)**: -27.287 eV/cell

POSCAR file:
```
LaCo2Ir
1.0
4.716 -0.043 0.000
0.914 4.627 0.000
-2.815 -2.292 3.011
Ir Co La
1 2 1
Direct
0.250 0.750 0.500 Ir
0.000 0.000 0.000 Co
0.500 0.500 0.000 Co
0.750 0.250 0.500 La
```


9.
DFT (PBE) results for crystalline LaCo2Ir at its relaxed geometry.

Properties
**ρ**: 11258 kg/m³
**ΔE_f**: 0.18 eV/atom
**Total DFT energy (no corrections)**: -27.295 eV/cell

POSCAR file:
```
LaCo2Ir
1.0
4.105 0.000 0.000
0.000 4.102 0.000
0.000 0.000 3.932
Ir Co La
1 2 1
Direct
0.500 0.000 0.500 Ir
0.500 0.500 0.000 Co
0.000 0.000 0.000 Co
0.000 0.500 0.500 La
```


10.
DFT (PBE) results for crystalline La2CoIr at its relaxed geometry.

Properties
**ρ**: 8828 kg/m³
**ΔE_f**: -0.14 eV/atom
**Total DFT energy (no corrections)**: -26.395 eV/cell

POSCAR file:
```
La2CoIr
1.0
-4.120 0.214 -0.086
-2.190 -2.900 -1.956
-2.394 -4.504 5.029
Ir La Co
1 2 1
Direct
0.250 0.250 0.250 Ir
0.500 0.500 0.499 La
0.000 0.000 0.001 La
0.750 0.750 0.750 Co
```


11.
DFT (PBE) results for crystalline LaCoIr4 at its relaxed geometry.

Properties
**ρ**: 15082 kg/m³
**ΔE_f**: -0.01 eV/atom
**Total DFT energy (no corrections)**: -47.515 eV/cell

POSCAR file:
```
LaCoIr4
1.0
0.000 3.761 3.761
3.761 0.000 3.761
3.761 3.761 0.000
Ir La Co
4 1 1
Direct
0.375 0.375 0.375 Ir
0.375 0.375 0.876 Ir
0.375 0.876 0.375 Ir
0.876 0.375 0.375 Ir
0.750 0.750 0.750 La
0.000 0.000 0.000 Co
```


12.
DFT (PBE) results for crystalline LaCo2Ir at its relaxed geometry.

Properties
**ρ**: 9634 kg/m³
**ΔE_f**: -0.21 eV/atom
**Total DFT energy (no corrections)**: -28.850 eV/cell

POSCAR file:
```
LaCo2Ir
1.0
-4.113 -0.973 0.181
-1.896 -1.801 -3.325
-0.861 -5.445 0.742
La Co Ir
1 2 1
Direct
0.752 0.752 0.742 La
0.249 0.249 0.253 Co
0.934 0.934 0.200 Co
0.565 0.565 0.306 Ir
```


Values for N(E_F), states/eV/cell, ordered as above
7.38; 5.44; 9.61; 4.10; 16.65; 4.59; 5.53; 7.33; 6.63; 6.05; 10.67; 4.06